The following is a DFT calculation (GGA+U) of a geometry-optimized LaCo2PbO structure.

extended XYZ file:
```
5
Lattice="4.831 0.000 0.000 0.000 6.347 0.000 0.000 0.000 4.831" Properties=species:S:1:pos:R:3 pbc="T T T"
Pb 0.000 0.000 0.000
Co 0.000 0.000 2.415
Co 2.415 0.000 0.000
O 2.415 3.174 2.415
La 0.000 3.174 0.000
```

Values from the calculation:
Space group: P4/mmm
VASP energy (eV per atom): -3.924